1.
ErTm2In after structural relaxation, computed with PBE.

```
4
Lattice="0.000 3.808 3.808 3.808 0.000 3.808 3.808 3.808 0.000" Properties=species:S:1:pos:R:3 pbc="T T T"
Er 0.000 0.000 0.000
Tm 1.904 1.904 1.904
Tm 5.712 5.712 5.712
In 3.808 3.808 3.808
```

Calculated values
SG = Fm-3m (225)
M_tot = 0.6 μB per formula unit
offset from the most stable computed form = 152.6 meV per atom
crystal system = cubic
DFT formation energy = -106.9 meV/atom

---

2.
ErTm2In9 after structural relaxation, computed with PBE.

```
12
Lattice="4.616 0.000 0.000 0.000 4.616 0.000 0.000 0.000 13.848" Properties=species:S:1:pos:R:3 pbc="T T T"
Er 0.000 0.000 0.000
Tm 0.000 0.000 4.618
Tm 0.000 0.000 9.231
In 0.000 2.308 2.316
In 0.000 2.308 6.924
In 0.000 2.308 11.533
In 2.308 0.000 2.316
In 2.308 0.000 6.924
In 2.308 0.000 11.533
In 2.308 2.308 0.000
In 2.308 2.308 4.616
In 2.308 2.308 9.232
```

Calculated values
SG = P4/mmm (123)
M_tot = 0.0 μB per formula unit
crystal system = tetragonal
DFT formation energy = -371.8 meV/atom

---

3.
ErTm4In4 after structural relaxation, computed with PBE.

```
18
Lattice="7.102 0.000 0.000 0.000 7.102 0.000 0.000 0.000 10.516" Properties=species:S:1:pos:R:3 pbc="T T T"
Er 1.776 5.327 2.629
Er 5.327 1.776 7.887
Tm 0.153 1.776 1.759
Tm 1.776 0.153 7.017
Tm 1.776 3.398 7.017
Tm 3.398 1.776 1.759
Tm 3.704 5.327 8.757
Tm 5.327 3.704 3.499
Tm 5.327 6.949 3.499
Tm 6.949 5.327 8.757
In 0.210 1.776 4.898
In 1.776 0.210 10.156
In 1.776 3.341 10.156
In 3.341 1.776 4.898
In 3.761 5.327 5.618
In 5.327 3.761 0.360
In 5.327 6.893 0.360
In 6.893 5.327 5.618
```

Calculated values
SG = P4_2/nmc (137)
M_tot = 0.0 μB per formula unit
crystal system = tetragonal
DFT formation energy = -102.3 meV/atom

---

4.
Er2Tm5In4 after structural relaxation, computed with PBE.

```
11
Lattice="-2.588 5.136 6.517 2.588 -5.136 6.517 2.588 5.136 -6.517" Properties=species:S:1:pos:R:3 pbc="T T T"
Er 0.000 0.000 2.181
Er 0.000 0.000 10.853
Tm 2.588 0.000 0.000
Tm 2.588 -1.613 3.587
Tm 2.588 1.613 3.587
Tm 0.000 3.523 2.930
Tm 0.000 6.748 2.930
In 0.000 2.209 0.000
In 0.000 0.000 5.103
In 0.000 0.000 7.931
In 0.000 8.062 0.000
```

Calculated values
SG = Immm (71)
M_tot = 0.0 μB per formula unit
crystal system = orthorhombic
DFT formation energy = 87.0 meV/atom

---

5.
Er5Tm2In4 after structural relaxation, computed with PBE.

```
11
Lattice="8.535 0.000 0.000 0.000 3.385 0.000 -1.136 0.000 10.395" Properties=species:S:1:pos:R:3 pbc="T T T"
Er 0.000 0.000 0.000
Er -0.079 0.000 3.444
Er 1.892 0.000 8.879
Er 5.508 0.000 1.516
Er 7.478 0.000 6.951
Tm 3.137 0.000 3.743
Tm 4.262 0.000 6.652
In 1.513 1.692 5.969
In 2.456 1.692 1.207
In 4.944 1.692 9.188
In 5.886 1.692 4.426
```

Calculated values
SG = P2/m (10)
M_tot = 0.0 μB per formula unit
offset from the most stable computed form = 0.0 meV per atom
crystal system = monoclinic
DFT formation energy = -224.3 meV/atom

---

6.
Er5TmIn6 after structural relaxation, computed with PBE.

```
12
Lattice="2.642 -7.927 0.000 2.642 7.927 0.000 0.000 0.000 7.421" Properties=species:S:1:pos:R:3 pbc="T T T"
Er 0.000 0.000 0.000
Er 2.642 2.647 0.000
Er 2.642 2.640 3.711
Er 2.642 -2.647 0.000
Er 2.642 -2.640 3.711
Tm 0.000 0.000 3.711
In 2.642 5.289 1.860
In 2.642 5.289 5.561
In 2.642 0.000 1.858
In 2.642 0.000 5.563
In 2.642 -5.289 1.860
In 2.642 -5.289 5.561
```

Calculated values
SG = Cmmm (65)
M_tot = 0.0 μB per formula unit
crystal system = orthorhombic
DFT formation energy = -438.1 meV/atom

---

7.
Er2Tm4In after structural relaxation, computed with PBE.

```
7
Lattice="2.346 1.355 12.498 -2.346 1.355 12.498 0.000 -2.709 12.498" Properties=species:S:1:pos:R:3 pbc="T T T"
Er 0.000 0.000 7.228
Er 0.000 0.000 30.265
Tm 0.000 0.000 3.328
Tm 0.000 0.000 11.161
Tm 0.000 0.000 26.332
Tm 0.000 0.000 34.165
In 0.000 0.000 0.000
```

Calculated values
SG = R-3m (166)
M_tot = 0.0 μB per formula unit
offset from the most stable computed form = 449.0 meV per atom
crystal system = trigonal
DFT formation energy = 410.2 meV/atom

---

8.
Er3Tm3In2 after structural relaxation, computed with PBE.

```
16
Lattice="2.551 -5.820 0.000 2.551 5.820 0.000 0.000 0.000 15.670" Properties=species:S:1:pos:R:3 pbc="T T T"
Er 2.551 5.431 11.753
Er 2.551 4.163 0.510
Er 2.551 4.163 7.325
Er 2.551 -4.163 8.345
Er 2.551 -4.163 15.160
Er 2.551 -5.431 3.918
Tm 2.551 2.924 3.918
Tm 2.551 0.488 1.606
Tm 2.551 0.488 6.229
Tm 2.551 -0.488 9.441
Tm 2.551 -0.488 14.064
Tm 2.551 -2.924 11.753
In 2.551 2.627 10.067
In 2.551 2.627 13.439
In 2.551 -2.627 2.232
In 2.551 -2.627 5.604
```

Calculated values
SG = Cmcm (63)
M_tot = 0.0 μB per formula unit
offset from the most stable computed form = 112.7 meV per atom
crystal system = orthorhombic
DFT formation energy = -147.5 meV/atom

---

9.
Er2Tm5In5 after structural relaxation, computed with PBE.

```
12
Lattice="6.009 -2.503 0.000 6.009 2.503 0.000 -4.039 0.000 10.933" Properties=species:S:1:pos:R:3 pbc="T T T"
Er -0.113 0.000 2.810
Er 8.092 0.000 8.123
Tm 2.167 0.000 5.473
Tm 3.546 0.000 2.465
Tm 6.009 0.000 0.000
Tm 4.432 0.000 8.468
Tm 5.811 0.000 5.460
In -2.020 0.000 5.466
In -1.930 0.000 10.580
In 0.199 0.000 7.876
In 7.780 0.000 3.056
In 9.908 0.000 0.353
```

Calculated values
SG = C2/m (12)
M_tot = 0.0 μB per formula unit
crystal system = monoclinic
DFT formation energy = -295.6 meV/atom

---

10.
YErTmIn after structural relaxation, computed with PBE.

```
4
Lattice="0.000 3.830 3.830 3.830 0.000 3.830 3.830 3.830 0.000" Properties=species:S:1:pos:R:3 pbc="T T T"
Y 0.000 0.000 0.000
Er 3.830 3.830 3.830
Tm 5.745 5.745 5.745
In 1.915 1.915 1.915
```

Calculated values
SG = F-43m (216)
M_tot = 0.7 μB per formula unit
offset from the most stable computed form = 128.2 meV per atom
crystal system = cubic
DFT formation energy = -135.2 meV/atom

---

11.
Y6Er3Tm2In after structural relaxation, computed with PBE.

```
12
Lattice="3.043 -5.276 0.000 3.043 5.276 0.000 -2.047 0.000 11.406" Properties=species:S:1:pos:R:3 pbc="T T T"
Y 0.993 1.737 2.807
Y -0.034 0.000 8.583
Y 0.993 -1.737 2.807
Y 3.045 1.737 8.598
Y 4.072 0.000 2.822
Y 3.045 -1.737 8.598
Er 2.019 3.519 5.703
Er 2.019 0.000 5.703
Er 2.019 -3.519 5.703
Tm 3.043 1.751 0.000
Tm 3.043 -1.751 0.000
In 0.000 0.000 0.000
```

Calculated values
SG = C2/m (12)
M_tot = 0.0 μB per formula unit
crystal system = monoclinic
DFT formation energy = -32.0 meV/atom

---

12.
YErTmIn after structural relaxation, computed with PBE.

```
4
Lattice="4.806 0.000 0.000 0.000 4.809 0.000 0.000 0.000 4.831" Properties=species:S:1:pos:R:3 pbc="T T T"
Y 0.000 0.000 0.000
Er 0.000 2.404 2.415
Tm 2.403 0.000 2.415
In 2.403 2.404 0.000
```

Calculated values
SG = Pmmm (47)
M_tot = 0.0 μB per formula unit
offset from the most stable computed form = 0.0 meV per atom
crystal system = orthorhombic
DFT formation energy = -263.4 meV/atom

---

Look up the M_tot of the sixth one.
0.0 μB per formula unit